1.
Material: AlTeIr2
Method: DFT, PBE
State: optimized geometry

Output
The calculation puts the offset from the most stable computed form at 0.104 eV/atom. The final energy is -24.741 eV for the cell shown.

Lattice parameters (Å, degrees): 4.509 4.509 5.241 78.36 78.36 39.87
Sites, in units of the cell vectors:
Ir1 0.990 0.990 0.022
Ir2 0.510 0.510 0.478
Te1 0.750 0.750 0.750
Al1 0.250 0.250 0.250


2.
Material: YAlTeIr2
Method: DFT, PBE
State: optimized geometry

Output
The final energy is -27.387 eV for the cell shown.

Lattice parameters (Å, degrees): 4.921 5.032 4.921 90.00 90.00 90.00
Sites, in units of the cell vectors:
Y1 0.500 0.500 0.500
Ir1 0.000 0.000 0.500
Ir2 0.500 0.000 0.000
Te1 0.000 0.000 0.000
Al1 0.000 0.500 0.000


Number 1: DOS(E_F) 2.62 states/eV/cell. Number 2: DOS(E_F) 5.09 states/eV/cell.